{
  "formula": "GdZnInSe3",
  "functional": "GGA-PBE",
  "state": "relaxed",
  "energy_ha_per_atom": -0.157,
  "vol_a3_per_cell": 662.24,
  "magnetic_moment_mub_per_cell": 0.01,
  "polymorph_energy_ev_per_atom": 0.0000,
  "sg": "Pnma (62)",
  "cell": [[-0.2106, 10.7370, 2.4931], [-1.9867, -0.8517, 3.5001], [12.7833, -1.3573, 6.9255]],
  "species": ["Gd", "Gd", "Gd", "Gd", "In", "In", "In", "In", "Se", "Se", "Se", "Se", "Se", "Se", "Se", "Se", "Se", "Se", "Se", "Se", "Zn", "Zn", "Zn", "Zn"],
  "fractional_positions": [[0.9843, 0.7500, 0.2433], [0.4843, 0.7500, 0.2567], [0.5157, 0.2500, 0.7433], [0.0157, 0.2500, 0.7567], [0.7199, 0.7500, 0.0029], [0.2199, 0.7500, 0.4971], [0.7801, 0.2500, 0.5029], [0.2801, 0.2500, 0.9971], [0.9148, 0.2500, 0.1151], [0.5474, 0.2500, 0.1238], [0.2372, 0.7500, 0.1805], [0.7372, 0.7500, 0.3195], [0.0474, 0.2500, 0.3762], [0.4148, 0.2500, 0.3849], [0.5852, 0.7500, 0.6151], [0.9526, 0.7500, 0.6238], [0.2628, 0.2500, 0.6805], [0.7628, 0.2500, 0.8195], [0.4526, 0.7500, 0.8762], [0.0852, 0.7500, 0.8849], [0.7358, 0.2500, 0.2153], [0.2358, 0.2500, 0.2847], [0.7642, 0.7500, 0.7153], [0.2642, 0.7500, 0.7847]]
}